Material: CoRhI2O
Method: DFT, PBE with a Hubbard U
State: relaxed

Cell: 5.424 5.424 3.501 Å, 90.00 90.00 90.00°
Fractional coordinates of all 5 atoms:
Co 0.000 0.000 0.000
Rh 0.500 0.500 0.500
I 0.000 0.500 0.000
I 0.500 0.000 0.000
O 0.000 0.000 0.500

Summary:
ΔE to the lowest computed polymorph, meV per atom: 10
Calculated density, Mg/m³: 7.0